Entry 1:
Here is a relaxed YH2Br crystal from the Alexandria database. Energies are from PBE.

abc: 3.7596 3.7596 10.5918
angles: 90.00 90.00 120.00
Atoms (fractional coordinates):
1 H 0.0000 0.0000 0.6329
2 H 0.3333 0.6667 0.5588
3 H 0.6667 0.3333 0.4412
4 Br 0.6667 0.3333 0.1648
5 H 0.0000 0.0000 0.3671
6 Y 0.3333 0.6667 0.3486
7 Y 0.6667 0.3333 0.6514
8 Br 0.3333 0.6667 0.8352

Computed properties:
As for the space group: No. 164. Its density of states at the Fermi level is 0.00 states/eV per cell. As for the energy: -4.796 eV/atom.

=====

Entry 2:
Here is a relaxed Y2H2Br crystal from the Alexandria database. Energies are from PBE.

abc: 3.5371 3.5371 7.3496
angles: 76.08 76.08 90.00
Atoms (fractional coordinates):
1 Br 0.0000 0.0000 0.0000
2 Y 0.6563 0.6563 0.6873
3 Y 0.3437 0.3437 0.3127
4 H 0.7500 0.2500 0.5000
5 H 0.2500 0.7500 0.5000

Computed properties:
As for the space group: No. 139. Its density of states at the Fermi level is 2.96 states/eV per cell. As for the energy: -4.945 eV/atom.

=====

Entry 3:
Here is a relaxed YH2Br crystal from the Alexandria database. Energies are from PBE.

abc: 4.4958 4.4958 7.4592
angles: 72.46 72.46 90.00
Atoms (fractional coordinates):
1 H 0.8760 0.1250 0.2500
2 Br 0.5000 0.5000 0.0000
3 H 0.3750 0.1240 0.7500
4 H 0.8740 0.6250 0.2500
5 Y 0.0000 0.0000 0.0000
6 Br 0.2500 0.7500 0.5000
7 Y 0.7500 0.2500 0.5000
8 H 0.8750 0.1260 0.7500

Computed properties:
As for the space group: No. 141. Its density of states at the Fermi level is 0.00 states/eV per cell. As for the energy: -4.442 eV/atom.

=====

Entry 4:
Here is a relaxed YH2Br2 crystal from the Alexandria database. Energies are from PBE.

abc: 5.0895 5.0895 5.0248
angles: 59.57 59.57 90.00
Each line ends with the local moment (μB).
Atoms (fractional coordinates):
1 Br 0.2500 0.7500 0.5000  -0.01
2 Br 0.7500 0.2500 0.5000  -0.01
3 H 0.4456 0.4456 0.1088  0.01
4 Y 0.0000 0.0000 0.0000  0.56
5 H 0.5544 0.5544 0.8912  0.01

Computed properties:
As for the space group: No. 139. Its density of states at the Fermi level is 3.02 states/eV per cell. As for the energy: -4.071 eV/atom.

=====

Entry 5:
Here is a relaxed ZnHBr2 crystal from the Alexandria database. Energies are from PBE.

abc: 4.7887 4.7887 4.7887
angles: 60.00 60.00 60.00
Each line ends with the local moment (μB).
Atoms (fractional coordinates):
1 Br 0.2500 0.2500 0.2500  0.03
2 Zn 0.5000 0.5000 0.5000  0.04
3 H 0.0000 0.0000 0.0000  0.35
4 Br 0.7500 0.7500 0.7500  0.03

Computed properties:
As for the space group: No. 225. Its density of states at the Fermi level is 0.21 states/eV per cell. As for the energy: -1.648 eV/atom.

=====

Entry 6:
Here is a relaxed ZnH3Br crystal from the Alexandria database. Energies are from PBE.

abc: 3.7655 3.7655 3.7655
angles: 90.00 90.00 90.00
Atoms (fractional coordinates):
1 H 0.0000 0.0000 0.5000
2 Zn 0.0000 0.0000 0.0000
3 H 0.0000 0.5000 0.0000
4 Br 0.5000 0.5000 0.5000
5 H 0.5000 0.0000 0.0000

Computed properties:
As for the space group: No. 221. Its density of states at the Fermi level is 2.57 states/eV per cell. As for the energy: -1.886 eV/atom.

=====

Entry 7:
Here is a relaxed Zn4H2Br crystal from the Alexandria database. Energies are from PBE.

abc: 5.5584 5.5584 7.3858
angles: 67.90 67.90 90.00
Atoms (fractional coordinates):
1 Zn 0.2822 0.2822 0.4355
2 Zn 0.5000 0.0000 0.0000
3 Zn 0.0000 0.5000 0.0000
4 Zn 0.7178 0.7178 0.5645
5 H 0.4688 0.4688 0.0624
6 Br 0.0000 0.0000 0.0000
7 H 0.5312 0.5312 0.9376

Computed properties:
As for the space group: No. 139. Its density of states at the Fermi level is 2.06 states/eV per cell. As for the energy: -1.452 eV/atom.

=====

Entry 8:
Here is a relaxed ZnHBr2 crystal from the Alexandria database. Energies are from PBE.

abc: 7.2476 7.2476 7.2476
angles: 33.69 33.69 33.69
Atoms (fractional coordinates):
1 Br 0.0841 0.0841 0.0841
2 Br 0.9159 0.9159 0.9159
3 H 0.0000 0.0000 0.0000
4 Zn 0.5000 0.5000 0.5000

Computed properties:
As for the space group: No. 166. Its density of states at the Fermi level is 2.71 states/eV per cell. As for the energy: -2.079 eV/atom.

=====

Entry 9:
Here is a relaxed ZnHBr2 crystal from the Alexandria database. Energies are from PBE.

abc: 6.8406 6.8406 6.8920
angles: 60.25 60.25 90.00
Each line ends with the local moment (μB).
Atoms (fractional coordinates):
1 Br 0.0590 0.6250 0.2500  0.03
2 Zn 0.0000 0.0000 0.0000  0.01
3 Zn 0.7500 0.2500 0.5000  0.01
4 H 0.2500 0.7500 0.5000  0.37
5 Br 0.8750 0.9410 0.7500  0.03
6 Br 0.6910 0.1250 0.2500  0.03
7 H 0.5000 0.5000 0.0000  0.37
8 Br 0.3750 0.3090 0.7500  0.03

Computed properties:
As for the space group: No. 122. Its density of states at the Fermi level is 0.00 states/eV per cell. As for the energy: -2.071 eV/atom.

=====

Entry 10:
Here is a relaxed Zn3HBr crystal from the Alexandria database. Energies are from PBE.

abc: 4.4434 4.4434 4.4434
angles: 90.00 90.00 90.00
Atoms (fractional coordinates):
1 Br 0.5000 0.5000 0.5000
2 H 0.0000 0.0000 0.0000
3 Zn 0.0000 0.5000 0.0000
4 Zn 0.0000 0.0000 0.5000
5 Zn 0.5000 0.0000 0.0000

Computed properties:
As for the space group: No. 221. Its density of states at the Fermi level is 2.06 states/eV per cell. As for the energy: -1.400 eV/atom.

=====

Entry 11:
Here is a relaxed ZnHBr2 crystal from the Alexandria database. Energies are from PBE.

abc: 6.4486 7.1650 7.1648
angles: 78.23 63.20 63.20
Each line ends with the local moment (μB).
Atoms (fractional coordinates):
1 Zn 0.3960 0.6773 0.1834  0.00
2 Zn 0.8961 0.6770 0.1835  0.00
3 Br 0.2914 0.6764 0.8938  0.01
4 Br 0.5008 0.9667 0.1840  0.01
5 H 0.1442 0.1760 0.6848  0.38
6 H 0.6443 0.1759 0.6847  0.38
7 Br 0.0013 0.6765 0.4732  0.01
8 Br 0.7908 0.3874 0.1840  0.01

Computed properties:
As for the space group: No. 1. Its density of states at the Fermi level is 0.00 states/eV per cell. As for the energy: -2.088 eV/atom.

=====

Entry 12:
Here is a relaxed ZnH3Br crystal from the Alexandria database. Energies are from PBE.

abc: 3.9636 3.9636 3.9636
angles: 90.00 90.00 90.00
Atoms (fractional coordinates):
1 H 0.0000 0.5000 0.0000
2 H 0.0000 0.0000 0.5000
3 Br 0.0000 0.0000 0.0000
4 H 0.5000 0.0000 0.0000
5 Zn 0.5000 0.5000 0.5000

Computed properties:
As for the space group: No. 221. Its density of states at the Fermi level is 1.05 states/eV per cell. As for the energy: -1.655 eV/atom.

=====

Entry 13:
Here is a relaxed Zn3HBr crystal from the Alexandria database. Energies are from PBE.

abc: 6.0181 6.0181 6.0181
angles: 90.00 90.00 90.00
Each line ends with the local moment (μB).
Atoms (fractional coordinates):
1 Zn 0.5000 0.0000 0.0000  -0.07
2 H 0.5000 0.5000 0.5000  0.37
3 Br 0.0000 0.0000 0.0000  -0.11
4 Zn 0.0000 0.0000 0.5000  0.00
5 Zn 0.0000 0.5000 0.0000  -0.01

Computed properties:
As for the space group: No. 221. Its density of states at the Fermi level is 4.27 states/eV per cell. As for the energy: -0.773 eV/atom.

=====

Entry 14:
Here is a relaxed Zn2H3Br4 crystal from the Alexandria database. Energies are from PBE.

abc: 13.2543 8.5767 10.2770
angles: 119.39 55.01 164.39
Atoms (fractional coordinates):
1 H 0.0000 0.0000 0.0000
2 H 0.5301 0.9222 0.6572
3 Zn 0.5188 0.7194 0.6547
4 Br 0.5295 0.7234 0.8874
5 H 0.4700 0.0778 0.3428
6 Zn 0.4812 0.2806 0.3452
7 Br 0.4705 0.2766 0.1126
8 Br 0.9167 0.7026 0.6043
9 Br 0.0833 0.2974 0.3957

Computed properties:
As for the space group: No. 2. Its density of states at the Fermi level is 2.94 states/eV per cell. As for the energy: -2.354 eV/atom.

=====

Entry 15:
Here is a relaxed Zr2HBr crystal from the Alexandria database. Energies are from PBE.

abc: 4.6020 4.6020 4.6020
angles: 60.00 60.00 60.00
Atoms (fractional coordinates):
1 H 0.0000 0.0000 0.0000
2 Br 0.5000 0.5000 0.5000
3 Zr 0.2500 0.2500 0.2500
4 Zr 0.7500 0.7500 0.7500

Computed properties:
As for the space group: No. 225. Its density of states at the Fermi level is 3.15 states/eV per cell. As for the energy: -5.229 eV/atom.

=====

Entry 16:
Here is a relaxed ZrH2Br crystal from the Alexandria database. Energies are from PBE.

abc: 4.1163 4.1163 7.2321
angles: 73.47 73.47 90.00
Atoms (fractional coordinates):
1 H 0.8752 0.1250 0.2500
2 H 0.8748 0.6250 0.2500
3 Zr 0.0000 0.0000 0.0000
4 H 0.8750 0.1252 0.7500
5 Zr 0.7500 0.2500 0.5000
6 H 0.3750 0.1248 0.7500
7 Br 0.5000 0.5000 0.0000
8 Br 0.2500 0.7500 0.5000

Computed properties:
As for the space group: No. 141. Its density of states at the Fermi level is 5.00 states/eV per cell. As for the energy: -4.492 eV/atom.

=====

Entry 17:
Here is a relaxed ZrHBr2 crystal from the Alexandria database. Energies are from PBE.

abc: 3.5536 3.5536 8.0548
angles: 77.74 77.74 60.01
Atoms (fractional coordinates):
1 Br 0.2075 0.2075 0.3677
2 H 0.4583 0.4583 0.6250
3 Zr 0.7918 0.7918 0.6250
4 Br 0.0424 0.0424 0.8823

Computed properties:
As for the space group: No. 8. Its density of states at the Fermi level is 1.78 states/eV per cell. As for the energy: -4.742 eV/atom.

=====

Entry 18:
Here is a relaxed ZrHBr2 crystal from the Alexandria database. Energies are from PBE.

abc: 6.0008 6.0008 6.4444
angles: 62.25 62.25 90.00
Atoms (fractional coordinates):
1 Zr 0.0000 0.0000 0.0000
2 Br 0.8750 0.8225 0.7500
3 Br 0.1775 0.6250 0.2500
4 Br 0.3750 0.4275 0.7500
5 H 0.2500 0.7500 0.5000
6 H 0.5000 0.5000 0.0000
7 Zr 0.7500 0.2500 0.5000
8 Br 0.5725 0.1250 0.2500

Computed properties:
As for the space group: No. 122. Its density of states at the Fermi level is 4.47 states/eV per cell. As for the energy: -3.718 eV/atom.

=====

Entry 19:
Here is a relaxed ZrH2Br3 crystal from the Alexandria database. Energies are from PBE.

abc: 7.9021 7.9021 6.2400
angles: 90.00 90.00 120.00
Atoms (fractional coordinates):
1 H 0.3333 0.6667 0.6898
2 Zr 0.0000 0.0000 0.5000
3 Br 0.3244 0.1622 0.7500
4 Br 0.8378 0.6756 0.7500
5 H 0.6667 0.3333 0.3102
6 H 0.3333 0.6667 0.8102
7 Br 0.1622 0.8378 0.2500
8 H 0.6667 0.3333 0.1898
9 Br 0.1622 0.3244 0.2500
10 Zr 0.0000 0.0000 0.0000
11 Br 0.6756 0.8378 0.2500
12 Br 0.8378 0.1622 0.7500

Computed properties:
As for the space group: No. 194. Its density of states at the Fermi level is 0.55 states/eV per cell. As for the energy: -4.307 eV/atom.

=====

Entry 20:
Here is a relaxed ZrHBr2 crystal from the Alexandria database. Energies are from PBE.

abc: 4.7288 4.7288 4.7288
angles: 60.00 60.00 60.00
Each line ends with the local moment (μB).
Atoms (fractional coordinates):
1 Br 0.2500 0.2500 0.2500  -0.03
2 H 0.0000 0.0000 0.0000  -0.10
3 Br 0.7500 0.7500 0.7500  -0.03
4 Zr 0.5000 0.5000 0.5000  0.89

Computed properties:
As for the space group: No. 225. Its density of states at the Fermi level is 3.15 states/eV per cell. As for the energy: -3.975 eV/atom.

=====

Entry 21:
Here is a relaxed Zr2HBr crystal from the Alexandria database. Energies are from PBE.

abc: 5.5413 5.5413 6.4054
angles: 64.37 64.37 90.00
Atoms (fractional coordinates):
1 Zr 0.8750 0.7847 0.7500
2 Br 0.7500 0.2500 0.5000
3 H 0.5000 0.5000 0.0000
4 Zr 0.2153 0.6250 0.2500
5 Zr 0.3750 0.4653 0.7500
6 Br 0.0000 0.0000 0.0000
7 H 0.2500 0.7500 0.5000
8 Zr 0.5347 0.1250 0.2500

Computed properties:
As for the space group: No. 122. Its density of states at the Fermi level is 7.55 states/eV per cell. As for the energy: -5.614 eV/atom.

=====

Entry 22:
Here is a relaxed ZrH2Br4 crystal from the Alexandria database. Energies are from PBE.

abc: 3.6017 8.1919 7.5021
angles: 60.53 94.35 80.02
Each line ends with the local moment (μB).
Atoms (fractional coordinates):
1 Zr 0.0000 0.0000 0.0000  0.35
2 H 0.6577 0.7735 0.4332  0.04
3 Br 0.1543 0.7762 0.4277  0.02
4 Br 0.4062 0.2443 0.0188  0.01
5 Br 0.5938 0.7557 0.9812  0.01
6 H 0.3423 0.2265 0.5668  0.04
7 Br 0.8457 0.2238 0.5723  0.02

Computed properties:
As for the space group: No. 2. Its density of states at the Fermi level is 2.00 states/eV per cell. As for the energy: -3.650 eV/atom.

=====

Entry 23:
Here is a relaxed ZrH3Br crystal from the Alexandria database. Energies are from PBE.

abc: 3.9549 3.9549 3.9549
angles: 90.00 90.00 90.00
Atoms (fractional coordinates):
1 H 0.0000 0.5000 0.0000
2 Zr 0.0000 0.0000 0.0000
3 H 0.0000 0.0000 0.5000
4 Br 0.5000 0.5000 0.5000
5 H 0.5000 0.0000 0.0000

Computed properties:
As for the space group: No. 221. Its density of states at the Fermi level is 0.00 states/eV per cell. As for the energy: -4.137 eV/atom.

=====

Entry 24:
Here is a relaxed ZrH3Br crystal from the Alexandria database. Energies are from PBE.

abc: 3.8404 3.8404 3.8404
angles: 90.00 90.00 90.00
Each line ends with the local moment (μB).
Atoms (fractional coordinates):
1 H 0.5000 0.0000 0.0000  0.00
2 Br 0.0000 0.0000 0.0000  0.01
3 Zr 0.5000 0.5000 0.5000  0.39
4 H 0.0000 0.5000 0.0000  0.00
5 H 0.0000 0.0000 0.5000  -0.01

Computed properties:
As for the space group: No. 221. Its density of states at the Fermi level is 3.53 states/eV per cell. As for the energy: -2.896 eV/atom.

=====

Entry 25:
Here is a relaxed Zr3HBr crystal from the Alexandria database. Energies are from PBE.

abc: 4.4928 4.4928 4.4928
angles: 90.00 90.00 90.00
Atoms (fractional coordinates):
1 H 0.0000 0.0000 0.0000
2 Zr 0.0000 0.0000 0.5000
3 Br 0.5000 0.5000 0.5000
4 Zr 0.0000 0.5000 0.0000
5 Zr 0.5000 0.0000 0.0000

Computed properties:
As for the space group: No. 221. Its density of states at the Fermi level is 6.66 states/eV per cell. As for the energy: -6.094 eV/atom.

=====

Entry 26:
Here is a relaxed ZrH2Br crystal from the Alexandria database. Energies are from PBE.

abc: 4.1304 4.1304 4.1304
angles: 60.00 60.00 60.00
Atoms (fractional coordinates):
1 H 0.2500 0.2500 0.2500
2 H 0.7500 0.7500 0.7500
3 Br 0.0000 0.0000 0.0000
4 Zr 0.5000 0.5000 0.5000

Computed properties:
As for the space group: No. 225. Its density of states at the Fermi level is 1.89 states/eV per cell. As for the energy: -3.949 eV/atom.

=====

Entry 27:
Here is a relaxed ZrHBr2 crystal from the Alexandria database. Energies are from PBE.

abc: 8.2311 8.2311 8.2311
angles: 24.86 24.86 24.86
Each line ends with the local moment (μB).
Atoms (fractional coordinates):
1 Br 0.1058 0.1058 0.1058  0.01
2 H 0.5000 0.5000 0.5000  0.12
3 Zr 0.0000 0.0000 0.0000  0.15
4 Br 0.8942 0.8942 0.8942  0.01

Computed properties:
As for the space group: No. 166. Its density of states at the Fermi level is 2.52 states/eV per cell. As for the energy: -3.647 eV/atom.

=====

no.,density (g cm⁻³)
1,4.4
2,5.0
3,4.2
4,4.6
5,4.8
6,4.6
7,3.0
8,3.6
9,3.3
10,5.2
11,2.8
12,4.0
13,2.1
14,3.0
15,6.3
16,5.1
17,4.9
18,4.8
19,3.3
20,5.6
21,5.6
22,3.7
23,4.7
24,5.1
25,6.5
26,5.8
27,4.8